# 1
First-principles (PBE) data for a geometry-optimized SmBi2PtO6 structure, as listed in Alexandria.

Calculated values
**ΔE_f (raw)**: -14.3 eV/f.u.
**ρ**: 8.89 g/cm3

a b c (Å): 5.701 6.059 6.151
angles (deg): 61.13 63.67 89.85
Fractional coordinates of all 10 atoms:
Sm 0.000 0.000 0.000
Bi 0.202 0.644 0.573
Bi 0.730 0.171 0.553
Pt 0.524 0.552 0.936
O 0.116 0.313 0.509
O 0.277 0.781 0.843
O 0.387 0.323 0.827
O 0.650 0.833 0.988
O 0.821 0.366 0.988
O 0.872 0.843 0.469

# 2
First-principles (PBE) data for a geometry-optimized SmGaTe2 structure, as listed in Alexandria.

Calculated values
**ΔE_f (raw)**: -3.5 eV/f.u.
**ρ**: 6.06 g/cm3

a b c (Å): 4.353 4.353 23.791
angles (deg): 90.00 90.00 120.00
Fractional coordinates of all 12 atoms:
Sm 0.000 0.000 0.000
Sm 0.333 0.667 0.667
Sm 0.667 0.333 0.333
Ga 0.000 0.000 0.833
Ga 0.333 0.667 0.499
Ga 0.667 0.333 0.166
Te 0.000 0.000 0.251
Te 0.000 0.000 0.414
Te 0.333 0.667 0.081
Te 0.333 0.667 0.917
Te 0.667 0.333 0.584
Te 0.667 0.333 0.747

# 3
First-principles (PBE) data for a geometry-optimized Na5B7C3 structure, as listed in Alexandria.

Calculated values
**Energy above the most stable polymorph in this dataset**: 9 meV per atom
**ρ**: 2.42 g/cm3
**Formation enthalpy at 0 K**: 1.835 eV per formula unit

a b c (Å): 11.557 11.557 9.951
angles (deg): 107.00 107.00 14.17
Fractional coordinates of all 30 atoms:
Na 0.000 0.000 0.000
Na 0.099 0.099 0.701
Na 0.201 0.201 0.399
Na 0.300 0.300 0.102
Na 0.399 0.399 0.800
Na 0.500 0.500 0.500
Na 0.601 0.601 0.200
Na 0.700 0.700 0.898
Na 0.799 0.799 0.601
Na 0.901 0.901 0.299
B 0.023 0.023 0.296
B 0.180 0.180 0.110
B 0.211 0.211 0.672
B 0.281 0.281 0.810
B 0.383 0.383 0.517
B 0.414 0.414 0.079
B 0.483 0.483 0.216
B 0.517 0.517 0.784
B 0.586 0.586 0.921
B 0.617 0.617 0.483
B 0.719 0.719 0.190
B 0.789 0.789 0.328
B 0.820 0.820 0.890
B 0.977 0.977 0.704
C 0.086 0.086 0.421
C 0.118 0.118 0.984
C 0.319 0.319 0.389
C 0.681 0.681 0.611
C 0.882 0.882 0.016
C 0.914 0.914 0.579

# 4
First-principles (PBE) data for a geometry-optimized Th4Tc2Ag structure, as listed in Alexandria.

Calculated values
**ρ**: 10.62 g/cm3
**Formation enthalpy at 0 K**: -0.594 eV per formula unit

a b c (Å): 7.516 7.516 7.693
angles (deg): 106.92 106.92 71.80
Fractional coordinates of all 14 atoms:
Th 0.000 0.000 0.000
Th 0.000 0.000 0.476
Th 0.021 0.443 0.862
Th 0.443 0.021 0.862
Th 0.454 0.982 0.356
Th 0.484 0.484 0.473
Th 0.496 0.496 0.003
Th 0.982 0.454 0.356
Tc 0.207 0.705 0.218
Tc 0.264 0.264 0.140
Tc 0.284 0.284 0.631
Tc 0.705 0.207 0.218
Ag 0.770 0.770 0.111
Ag 0.771 0.771 0.647

What did we get for total magnetic moment? Answer: 0.965, 0.000, 0.000, 0.000 μB/cell, in the order shown.